This record from Alexandria via LeMat-Bulk describes a relaxed structure of Cs2NiTe2O6. The functional is GGA+U.

Lattice parameters (Å, degrees): 7.724 7.724 8.299 120.93 120.93 42.46
Atoms (fractional coordinates):
Cs  0.216  0.216  0.253
Cs  0.784  0.784  0.747
Ni  0.000  0.000  0.500
Te  0.466  0.466  0.198
Te  0.534  0.534  0.802
O  0.163  0.685  0.290
O  0.315  0.837  0.710
O  0.379  0.379  0.664
O  0.621  0.621  0.336
O  0.685  0.163  0.290
O  0.837  0.315  0.710

Computed properties:
For the calculated total energy, the calculation gives -4.86 eV per atom.